# 1
Below is a relaxed PmSc3N crystal, with properties calculated at the PBE-GGA level.

Values from the calculation:
Electronic total energy = -34.579 eV for the cell shown
E_form (uncorrected) = -0.5017 eV per atom
DOS at the Fermi energy = 7.1 states/eV/f.u.

Lattice parameters (Å, degrees): 4.653 4.653 4.653 90.00 90.00 90.00
Fractional coordinates of all 5 atoms:
Sc1 0.000 0.000 0.500
Sc2 0.000 0.500 0.000
Sc3 0.500 0.000 0.000
N1 0.000 0.000 0.000
Pm1 0.500 0.500 0.500



# 2
Below is a relaxed PmScTaN3 crystal, with properties calculated at the PBE-GGA level.

Values from the calculation:
Electronic total energy = -113.093 eV for the cell shown
E_form (uncorrected) = -1.4393 eV per atom
DOS at the Fermi energy = 2.0 states/eV/f.u.

Lattice parameters (Å, degrees): 3.313 5.725 8.466 103.88 90.00 90.00
Fractional coordinates of all 12 atoms:
Ta1 0.250 0.141 0.648
Ta2 0.750 0.859 0.352
Sc1 0.250 0.773 0.040
Sc2 0.750 0.227 0.960
N1 0.750 0.238 0.516
N2 0.250 0.762 0.484
N3 0.250 0.966 0.842
N4 0.750 0.560 0.167
N5 0.250 0.440 0.833
N6 0.750 0.034 0.158
Pm1 0.250 0.341 0.309
Pm2 0.750 0.659 0.691



# 3
Below is a relaxed PmScW2N6 crystal, with properties calculated at the PBE-GGA level.

Values from the calculation:
Electronic total energy = -192.277 eV for the cell shown
E_form (uncorrected) = -0.9198 eV per atom
DOS at the Fermi energy = 0.0 states/eV/f.u.

Lattice parameters (Å, degrees): 6.359 7.492 7.492 80.37 70.90 70.90
Fractional coordinates of all 20 atoms:
N1 0.822 0.004 0.227
N2 0.640 0.683 0.610
N3 0.636 0.136 0.625
N4 0.136 0.625 0.136
N5 0.678 0.773 0.996
N6 0.860 0.390 0.317
N7 0.178 0.996 0.773
N8 0.360 0.317 0.390
N9 0.364 0.864 0.375
N10 0.864 0.375 0.864
N11 0.322 0.227 0.004
N12 0.140 0.610 0.683
W1 0.822 0.622 0.789
W2 0.178 0.378 0.211
W3 0.322 0.789 0.622
W4 0.678 0.211 0.378
Sc1 0.250 0.271 0.729
Sc2 0.750 0.729 0.271
Pm1 0.750 0.100 0.900
Pm2 0.250 0.900 0.100



# 4
Below is a relaxed Pm4Se3N crystal, with properties calculated at the PBE-GGA level.

Values from the calculation:
Offset from the most stable computed form = 0 meV/atom
Electronic total energy = -51.324 eV for the cell shown
E_form (uncorrected) = -1.6929 eV per atom
DOS at the Fermi energy = 3.4 states/eV/f.u.

Lattice parameters (Å, degrees): 3.983 7.108 7.108 108.54 90.00 90.00
Fractional coordinates of all 8 atoms:
N1 0.500 0.000 0.000
Pm1 0.500 0.221 0.779
Pm2 0.000 0.789 0.789
Pm3 0.000 0.211 0.211
Pm4 0.500 0.779 0.221
Se1 0.000 0.000 0.500
Se2 0.500 0.500 0.500
Se3 0.000 0.500 0.000



# 5
Below is a relaxed Pm4Se3N crystal, with properties calculated at the PBE-GGA level.

Values from the calculation:
Offset from the most stable computed form = 170 meV/atom
Electronic total energy = -99.935 eV for the cell shown
E_form (uncorrected) = -1.5233 eV per atom
DOS at the Fermi energy = 5.0 states/eV/f.u.

Lattice parameters (Å, degrees): 5.803 8.186 9.681 90.00 90.00 90.00
Fractional coordinates of all 16 atoms:
Pm1 0.082 0.837 0.500
Pm2 0.066 0.289 0.216
Pm3 0.066 0.289 0.784
Pm4 0.566 0.711 0.284
Pm5 0.567 0.113 0.500
Pm6 0.566 0.711 0.716
Pm7 0.067 0.887 0.000
Pm8 0.582 0.163 0.000
Se1 0.072 0.183 0.500
Se2 0.070 0.655 0.757
Se3 0.572 0.817 0.000
Se4 0.070 0.655 0.243
Se5 0.570 0.345 0.743
Se6 0.570 0.345 0.257
N1 0.521 0.828 0.500
N2 0.021 0.172 0.000



# 6
Below is a relaxed Pm6Se5N crystal, with properties calculated at the PBE-GGA level.

Values from the calculation:
Electronic total energy = -75.221 eV for the cell shown
E_form (uncorrected) = -1.7474 eV per atom
DOS at the Fermi energy = 4.8 states/eV/f.u.

Lattice parameters (Å, degrees): 7.117 8.237 7.131 106.83 99.53 125.25
Fractional coordinates of all 12 atoms:
Pm1 0.852 0.073 0.705
Pm2 0.148 0.369 0.295
Pm3 0.549 0.778 0.000
Pm4 0.852 0.631 0.705
Pm5 0.451 0.222 0.000
Pm6 0.148 0.927 0.295
Se1 0.325 0.825 0.649
Se2 0.675 0.175 0.351
Se3 0.666 0.666 0.332
Se4 0.000 0.500 0.000
Se5 0.334 0.334 0.668
N1 0.000 0.000 0.000



# 7
Below is a relaxed PmSeN crystal, with properties calculated at the PBE-GGA level.

Values from the calculation:
Offset from the most stable computed form = 166 meV/atom
Electronic total energy = -39.325 eV for the cell shown
E_form (uncorrected) = -1.0340 eV per atom
DOS at the Fermi energy = 1.5 states/eV/f.u.

Lattice parameters (Å, degrees): 4.121 4.220 9.997 88.38 90.00 119.23
Fractional coordinates of all 6 atoms:
Pm1 0.145 0.290 0.166
Pm2 0.855 0.710 0.834
N1 0.574 0.148 0.968
N2 0.426 0.852 0.032
Se1 0.797 0.593 0.315
Se2 0.203 0.407 0.685



# 8
Below is a relaxed Pm2SeN crystal, with properties calculated at the PBE-GGA level.

Values from the calculation:
Offset from the most stable computed form = 9 meV/atom
Electronic total energy = -55.664 eV for the cell shown
E_form (uncorrected) = -1.6302 eV per atom
DOS at the Fermi energy = 1.7 states/eV/f.u.

Lattice parameters (Å, degrees): 3.788 3.788 13.594 90.00 90.00 120.00
Fractional coordinates of all 8 atoms:
Se1 0.667 0.333 0.250
Se2 0.333 0.667 0.750
N1 0.000 0.000 0.000
N2 0.000 0.000 0.500
Pm1 0.667 0.333 0.900
Pm2 0.333 0.667 0.100
Pm3 0.667 0.333 0.600
Pm4 0.333 0.667 0.400